Entry 1:
First-principles (PBE) data for crystalline NaFeMoCl2 at its relaxed geometry, as listed in Alexandria via LeMat-Bulk.

Geometry as POSCAR:
```
NaFeMoCl2
1.0
-0.7936 3.5581 -2.8278
-4.8817 0.2511 1.6859
1.2974 2.9285 3.3207
Mo Fe Cl Na
1 1 2 1
direct
0.5000 0.5000 0.5000
0.0000 0.5000 0.0000
0.0000 0.0000 0.5000
0.5000 0.0000 0.0000
0.0000 0.0000 0.0000
```

Values from the calculation:
The space group is No. 123. The value obtained for the total energy is -3.287 eV/atom. As for the volume: 22.01 Å³/atom.



Entry 2:
First-principles (PBE) data for crystalline Ce3DyHo2As6 at its relaxed geometry, as listed in Alexandria via LeMat-Bulk.

Geometry as POSCAR:
```
Ce3DyHo2As6
1.0
-3.0394 -0.1745 6.5389
-1.6445 -5.0531 -4.8773
6.6643 -2.1077 1.7150
Ce As Ho Dy
3 6 2 1
direct
0.8335 0.1665 0.5000
0.5000 0.5000 0.5000
0.1665 0.8335 0.5000
0.7476 0.7476 0.2448
0.9184 0.5844 0.7551
0.0816 0.4156 0.2449
0.4156 0.0816 0.2449
0.5844 0.9184 0.7551
0.2524 0.2524 0.7552
0.6667 0.3333 0.0000
0.3333 0.6667 0.0000
0.0000 0.0000 0.0000
```

Values from the calculation:
The space group is No. 12. The formation enthalpy at 0 K comes out at -1.479 eV/atom. The value obtained for the total energy is -6.433 eV/atom. As for the volume: 25.47 Å³/atom.



Entry 3:
First-principles (PBE) data for crystalline MgCuAsBr2 at its relaxed geometry, as listed in Alexandria via LeMat-Bulk.

Geometry as POSCAR:
```
MgCuAsBr2
1.0
5.0358 0.0000 0.0000
0.0000 5.0358 0.0000
0.0000 0.0000 4.9205
Mg Br Cu As
1 2 1 1
direct
0.5000 0.5000 0.5000
0.0000 0.5000 0.0000
0.5000 0.0000 0.0000
0.0000 0.0000 0.0000
0.0000 0.0000 0.5000
```

Values from the calculation:
The space group is No. 123. For the offset from the most stable computed form, the calculation gives 0.000 eV per atom. The value obtained for the total energy is -2.631 eV/atom. As for the volume: 24.96 Å³/atom.



Entry 4:
First-principles (PBE) data for crystalline LaEr3Tl4 at its relaxed geometry, as listed in Alexandria via LeMat-Bulk.

Geometry as POSCAR:
```
LaEr3Tl4
1.0
5.4151 0.0000 0.0000
0.0000 7.6417 0.0000
0.0000 0.0000 10.8316
La Tl Er
2 8 6
direct
0.0000 0.5000 0.0000
0.0000 0.5000 0.5000
0.5000 0.2383 0.0000
0.5000 0.7617 0.0000
0.5000 0.7617 0.5000
0.0015 0.7617 0.2500
0.0015 0.2383 0.2500
0.9985 0.2383 0.7500
0.9985 0.7617 0.7500
0.5000 0.2383 0.5000
0.4989 0.5000 0.7500
0.5014 0.0000 0.2500
0.4986 0.0000 0.7500
0.0000 0.0000 0.0000
0.0000 0.0000 0.5000
0.5011 0.5000 0.2500
```

Values from the calculation:
The space group is No. 51. The formation enthalpy at 0 K comes out at -0.334 eV/atom. The value obtained for the total energy is -3.844 eV/atom. As for the volume: 28.01 Å³/atom.



Entry 5:
First-principles (PBE) data for crystalline InIrBr2 at its relaxed geometry, as listed in Alexandria via LeMat-Bulk.

Geometry as POSCAR:
```
InIrBr2
1.0
3.6718 -0.0373 0.0000
-1.9064 3.1384 0.0000
0.0000 0.0000 9.3606
Ir In Br
1 1 2
direct
0.5000 0.5000 0.7404
0.0000 0.0000 0.5287
0.5000 0.5000 0.3059
0.0000 0.0000 0.9250
```

Values from the calculation:
The space group is No. 35. For the offset from the most stable computed form, the calculation gives 0.255 eV per atom. The value obtained for the total energy is -3.538 eV/atom. As for the volume: 26.80 Å³/atom.



Entry 6:
First-principles (PBE) data for crystalline SrGa2Se2 at its relaxed geometry, as listed in Alexandria via LeMat-Bulk.

Geometry as POSCAR:
```
SrGa2Se2
1.0
4.0212 0.0000 0.0000
0.0000 4.0212 0.0000
2.0106 2.0106 7.9247
Ga Sr Se
2 1 2
direct
0.2500 0.7500 0.5000
0.7500 0.2500 0.5000
0.0000 0.0000 0.0000
0.5989 0.5989 0.8022
0.4011 0.4011 0.1978
```

Values from the calculation:
The space group is No. 139. For the offset from the most stable computed form, the calculation gives 0.000 eV per atom. The value obtained for the total energy is -3.671 eV/atom. As for the volume: 25.63 Å³/atom.



Entry 7:
First-principles (PBE) data for crystalline BaLaPb3 at its relaxed geometry, as listed in Alexandria via LeMat-Bulk.

Geometry as POSCAR:
```
BaLaPb3
1.0
-2.9491 -5.3171 0.4290
5.2260 -2.9781 -0.9859
1.0697 -0.1092 5.9997
Ba Pb La
1 3 1
direct
0.5000 0.5000 0.5000
0.0000 0.5000 0.0000
0.5000 0.0000 0.0000
0.0000 0.0000 0.5000
0.0000 0.0000 0.0000
```

Values from the calculation:
The space group is No. 221. For the offset from the most stable computed form, the calculation gives 0.000 eV per atom. The formation enthalpy at 0 K comes out at -0.025 eV/atom. The value obtained for the total energy is -3.620 eV/atom. As for the volume: 45.29 Å³/atom.



Entry 8:
First-principles (PBE) data for crystalline Sr2BeGe3Pt4 at its relaxed geometry, as listed in Alexandria via LeMat-Bulk.

Geometry as POSCAR:
```
Sr2BeGe3Pt4
1.0
4.3584 0.0000 0.0000
0.0000 4.3584 0.0000
0.0000 0.0000 10.2267
Pt Sr Be Ge
4 2 1 3
direct
0.5000 0.0000 0.6169
0.0000 0.0000 0.0000
0.5000 0.5000 0.0000
0.0000 0.5000 0.3831
0.0000 0.5000 0.7431
0.5000 0.0000 0.2569
0.5000 0.5000 0.5000
0.0000 0.5000 0.1327
0.5000 0.0000 0.8673
0.0000 0.0000 0.5000
```

Values from the calculation:
The space group is No. 115. The formation enthalpy at 0 K comes out at -0.761 eV/atom. The value obtained for the total energy is -5.272 eV/atom. As for the volume: 19.43 Å³/atom.



Entry 9:
First-principles (PBE) data for crystalline Sc4SbC2 at its relaxed geometry, as listed in Alexandria via LeMat-Bulk.

Geometry as POSCAR:
```
Sc4SbC2
1.0
-0.0934 -0.0322 -3.5056
4.3479 -3.7973 1.6732
-7.9801 -9.0072 0.2955
Sb Sc C
2 8 4
direct
0.6101 0.2202 0.7500
0.3899 0.7798 0.2500
0.2422 0.4845 0.9008
0.5000 0.0000 0.0000
0.0898 0.1796 0.2500
0.7578 0.5155 0.0992
0.2422 0.4845 0.5992
0.7578 0.5155 0.4008
0.9102 0.8204 0.7500
0.5000 0.0000 0.5000
0.8653 0.7306 0.9412
0.1347 0.2694 0.4412
0.8653 0.7306 0.5588
0.1347 0.2694 0.0588
```

Values from the calculation:
The space group is No. 63. The value obtained for the total energy is -7.475 eV/atom. As for the volume: 17.33 Å³/atom.



Entry 10:
First-principles (PBE) data for crystalline BaLi4Pb12 at its relaxed geometry, as listed in Alexandria via LeMat-Bulk.

Geometry as POSCAR:
```
BaLi4Pb12
1.0
-2.5089 -4.3135 -7.1129
3.6492 -5.5405 5.6106
-6.9104 3.7428 3.7056
Pb Ba Li
12 1 4
direct
0.4696 0.8135 0.6561
0.8135 0.6561 0.4696
0.6561 0.4696 0.8135
0.6561 0.8425 0.1865
0.8135 0.3439 0.1575
0.5304 0.1865 0.3439
0.1575 0.8135 0.3439
0.3439 0.1575 0.8135
0.3439 0.5304 0.1865
0.8425 0.1865 0.6561
0.1865 0.3439 0.5304
0.1865 0.6561 0.8425
0.0000 0.0000 0.0000
0.0000 0.5000 0.0000
0.5000 0.5000 0.5000
0.0000 0.0000 0.5000
0.5000 0.0000 0.0000
```

Values from the calculation:
The space group is No. 204. The formation enthalpy at 0 K comes out at -0.030 eV/atom. The value obtained for the total energy is -3.211 eV/atom. As for the volume: 29.70 Å³/atom.



Entry 11:
First-principles (PBE) data for crystalline Na2SmScSe4 at its relaxed geometry, as listed in Alexandria via LeMat-Bulk.

Geometry as POSCAR:
```
Na2SmScSe4
1.0
4.0937 0.0000 0.0000
0.0000 7.0890 0.1185
0.0000 -2.4794 6.9526
Se Sm Na Sc
4 1 2 1
direct
0.5000 0.7740 0.7783
0.0000 0.7590 0.2298
0.5000 0.2260 0.2217
0.0000 0.2410 0.7702
0.5000 0.5000 0.0000
0.0000 0.5000 0.5000
0.5000 0.0000 0.5000
0.0000 0.0000 0.0000
```

Values from the calculation:
The space group is No. 10. The value obtained for the total energy is -5.076 eV/atom. As for the volume: 25.37 Å³/atom.



Entry 12:
First-principles (PBE) data for crystalline BaEuPb at its relaxed geometry, as listed in Alexandria via LeMat-Bulk.

Geometry as POSCAR:
```
BaEuPb
1.0
3.6911 0.0000 0.0000
0.0000 3.6911 0.0000
-1.8455 -1.8455 10.1869
Ba Eu Pb
1 1 1
direct
0.1189 0.1189 0.2378
0.7843 0.7843 0.5686
0.9468 0.9468 0.8935
```

Values from the calculation:
The space group is No. 107. For the offset from the most stable computed form, the calculation gives 0.634 eV per atom. The formation enthalpy at 0 K comes out at 0.219 eV/atom. The value obtained for the total energy is -5.083 eV/atom. As for the volume: 46.26 Å³/atom.